TmMgIr2 | the Alexandria database | PBE | optimized geometry; final energy = -0.483 Ry/atom; energy relative to the elements = -0.62 eV per atom; total magnetization = 0.00 μB per formula unit
1.0
-0.6883 -3.1382 0.8227
-1.0443 -0.9116 -4.3509
4.3432 -1.1620 -0.7990
Tm Ir Mg
1 2 1
Cartesian
1.3053 -2.6059 -2.1636 Tm
2.1716 -0.5810 -0.3995 Ir
-0.5221 -0.4558 -2.1754 Ir
-0.3442 -1.5691 0.4113 Mg